Material: ErTi4N6
Method: DFT, PBE
State: relaxed

abc: 5.2110 5.2110 15.4222
angles: 90.00 90.00 146.29
Sites, in units of the cell vectors:
Er 0.1511 0.8489 0.7500
Er 0.8489 0.1511 0.2500
Ti 0.1068 0.8932 0.1339
Ti 0.1068 0.8932 0.3661
Ti 0.3701 0.6299 0.0489
Ti 0.3701 0.6299 0.4511
Ti 0.6299 0.3701 0.5489
Ti 0.6299 0.3701 0.9511
Ti 0.8932 0.1068 0.6339
Ti 0.8932 0.1068 0.8661
N 0.0000 0.0000 0.0000
N 0.0000 0.0000 0.5000
N 0.1746 0.8254 0.2500
N 0.2677 0.7323 0.5840
N 0.2677 0.7323 0.9160
N 0.4652 0.5348 0.1571
N 0.4652 0.5348 0.3429
N 0.5348 0.4652 0.6571
N 0.5348 0.4652 0.8429
N 0.7323 0.2677 0.0840
N 0.7323 0.2677 0.4160
N 0.8254 0.1746 0.7500

- Energy relative to the elements, uncorrected: -1.589 eV/atom


Material: ErTiN2
Method: DFT, PBE
State: relaxed

abc: 5.8367 5.8367 5.8367
angles: 31.37 31.37 31.37
Sites, in units of the cell vectors:
Er 0.0000 0.0000 0.0000
Ti 0.8266 0.8266 0.8266
N 0.4185 0.4185 0.4185
N 0.5723 0.5723 0.5723

- Energy relative to the elements, uncorrected: -1.397 eV/atom


Material: Er12Tl6N
Method: DFT, PBE
State: relaxed

abc: 8.1402 8.1402 8.1402
angles: 94.71 94.71 94.71
Sites, in units of the cell vectors:
Er 0.0333 0.9251 0.7139
Er 0.0749 0.2861 0.9667
Er 0.2008 0.4162 0.5334
Er 0.2861 0.9667 0.0749
Er 0.4162 0.5334 0.2008
Er 0.4666 0.7992 0.5838
Er 0.5334 0.2008 0.4162
Er 0.5838 0.4666 0.7992
Er 0.7139 0.0333 0.9251
Er 0.7992 0.5838 0.4666
Er 0.9251 0.7139 0.0333
Er 0.9667 0.0749 0.2861
Tl 0.1428 0.7519 0.3631
Tl 0.2481 0.6369 0.8572
Tl 0.3631 0.1428 0.7519
Tl 0.6369 0.8572 0.2481
Tl 0.7519 0.3631 0.1428
Tl 0.8572 0.2481 0.6369
N 0.0000 0.0000 0.0000

- Energy relative to the elements, uncorrected: -0.315 eV/atom